# ScTaRu3

A relaxed ScTaRu3 crystal (GGA-PBEsol, the Alexandria database).

* M_tot: 0.00 μB/cell
* SG: Pm-3m (221)
* Fermi-level density of states: 0.79 states/eV per atom
* ΔE_f: 1.39 eV/atom
* uncorrected energy: -8.5480 eV/atom

abc: 4.4317 4.4317 4.4317
angles: 90.00 90.00 90.00
Closest atoms and distances in Å follow each position.
Atoms (fractional coordinates):
1 Sc 0.0000 0.0000 0.0000  6 Ru 2.22
2 Ru 0.0000 0.5000 0.0000  2 Sc 2.22
3 Ru 0.0000 0.0000 0.5000  2 Sc 2.22
4 Ru 0.5000 0.0000 0.0000  2 Sc 2.22
5 Ta 0.5000 0.5000 0.5000  12 Ru 3.13

---

# Sc2TaRu

A relaxed Sc2TaRu crystal (GGA-PBEsol, the Alexandria database).

* M_tot: 0.00 μB/cell
* SG: F-43m (216)
* Fermi-level density of states: 1.62 states/eV per atom
* ΔE_f: -0.05 eV/atom
* uncorrected energy: -9.0341 eV/atom

abc: 4.6131 4.6131 4.6131
angles: 60.00 60.00 60.00
Closest atoms and distances in Å follow each position.
Atoms (fractional coordinates):
1 Ru 0.7500 0.7500 0.7500  4 Sc 2.82, 4 Ta 2.82
2 Sc 0.0000 0.0000 0.0000  4 Ru 2.82, 4 Sc 2.82
3 Sc 0.2500 0.2500 0.2500  4 Ta 2.82, 4 Sc 2.82
4 Ta 0.5000 0.5000 0.5000  4 Ru 2.82, 4 Sc 2.82

---

# ScTa2Ru

A relaxed ScTa2Ru crystal (GGA-PBEsol, the Alexandria database).

* M_tot: 0.00 μB/cell
* SG: Fm-3m (225)
* Fermi-level density of states: 1.09 states/eV per atom
* ΔE_f: 0.00 eV/atom
* uncorrected energy: -10.4660 eV/atom

abc: 4.5407 4.5407 4.5407
angles: 60.00 60.00 60.00
Closest atoms and distances in Å follow each position.
Atoms (fractional coordinates):
1 Ru 0.0000 0.0000 0.0000  8 Ta 2.78
2 Sc 0.5000 0.5000 0.5000  8 Ta 2.78
3 Ta 0.7500 0.7500 0.7500  4 Sc 2.78, 4 Ru 2.78
4 Ta 0.2500 0.2500 0.2500  4 Ru 2.78, 4 Sc 2.78

---

# ScTaRu2

A relaxed ScTaRu2 crystal (GGA-PBEsol, the Alexandria database).

* M_tot: 0.00 μB/cell
* SG: Fm-3m (225)
* Fermi-level density of states: 0.13 states/eV per atom
* ΔE_f: -0.59 eV/atom
* uncorrected energy: -10.4630 eV/atom

abc: 4.4426 4.4426 4.4426
angles: 60.00 60.00 60.00
Closest atoms and distances in Å follow each position.
Atoms (fractional coordinates):
1 Sc 0.0000 0.0000 0.0000  8 Ru 2.72
2 Ru 0.2500 0.2500 0.2500  4 Ta 2.72, 4 Sc 2.72
3 Ru 0.7500 0.7500 0.7500  4 Ta 2.72, 4 Sc 2.72
4 Ta 0.5000 0.5000 0.5000  8 Ru 2.72

---

# ScTaRu2

A relaxed ScTaRu2 crystal (GGA-PBEsol, the Alexandria database).

* M_tot: 0.00 μB/cell
* SG: P4/mmm (123)
* Fermi-level density of states: 0.22 states/eV per atom
* ΔE_f: -0.57 eV/atom
* uncorrected energy: -10.4434 eV/atom

abc: 3.1344 4.4497 4.4497
angles: 90.00 90.00 90.00
Closest atoms and distances in Å follow each position.
Atoms (fractional coordinates):
1 Sc 0.5000 0.5000 0.5000  8 Ru 2.72
2 Ru 0.0000 0.0000 0.5000  4 Sc 2.72, 4 Ta 2.72
3 Ru 0.0000 0.5000 0.0000  4 Sc 2.72, 4 Ta 2.72
4 Ta 0.5000 0.0000 0.0000  8 Ru 2.72

---

# Sc2TaRu

A relaxed Sc2TaRu crystal (GGA-PBEsol, the Alexandria database).

* M_tot: 0.00 μB/cell
* SG: Cmmm (65)
* Fermi-level density of states: 0.96 states/eV per atom
* ΔE_f: -0.03 eV/atom
* uncorrected energy: -9.0170 eV/atom

abc: 2.9293 2.9293 8.9041
angles: 90.00 90.00 111.25
Closest atoms and distances in Å follow each position.
Atoms (fractional coordinates):
1 Ru 0.5000 0.5000 0.0000  4 Sc 2.56
2 Sc 0.0000 0.0000 0.2190  2 Ru 2.56
3 Sc 0.0000 0.0000 0.7810  2 Ru 2.56
4 Ta 0.5000 0.5000 0.5000  4 Ta 2.93, 4 Sc 3.00

---

# Sc2TaRu

A relaxed Sc2TaRu crystal (GGA-PBEsol, the Alexandria database).

* M_tot: 2.54 μB/cell
* SG: Fm-3m (225)
* Fermi-level density of states: 1.24 states/eV per atom
* ΔE_f: 0.16 eV/atom
* uncorrected energy: -8.8225 eV/atom

abc: 4.6495 4.6495 4.6495
angles: 60.00 60.00 60.00
Closest atoms and distances in Å follow each position.
Atoms (fractional coordinates):
1 Ru 0.0000 0.0000 0.0000  8 Sc 2.85
2 Sc 0.2500 0.2500 0.2500  4 Ru 2.85, 4 Ta 2.85
3 Sc 0.7500 0.7500 0.7500  4 Ta 2.85, 4 Ru 2.85
4 Ta 0.5000 0.5000 0.5000  8 Sc 2.85

---

# ScTa2Ru

A relaxed ScTa2Ru crystal (GGA-PBEsol, the Alexandria database).

* M_tot: 0.00 μB/cell
* SG: R-3m (166)
* Fermi-level density of states: 0.72 states/eV per atom
* ΔE_f: 0.12 eV/atom
* uncorrected energy: -10.3537 eV/atom

abc: 2.9564 2.9564 9.3928
angles: 80.95 80.95 60.00
Closest atoms and distances in Å follow each position.
Atoms (fractional coordinates):
1 Ru 0.0000 0.0000 0.0000  6 Ta 2.70, 6 Ru 2.96
2 Sc 0.5000 0.5000 0.5000  6 Sc 2.96, 6 Ta 3.04
3 Ta 0.2577 0.2577 0.2270  3 Ru 2.70, 6 Ta 2.96
4 Ta 0.7423 0.7423 0.7730  3 Ru 2.70, 6 Ta 2.96

---

# Sc2TcRu

A relaxed Sc2TcRu crystal (GGA-PBEsol, the Alexandria database).

* M_tot: 0.00 μB/cell
* SG: Imm2 (44)
* Fermi-level density of states: 0.68 states/eV per atom
* ΔE_f: -0.30 eV/atom
* uncorrected energy: -8.9641 eV/atom

abc: 3.1310 4.4013 5.4633
angles: 113.75 106.65 90.00
Closest atoms and distances in Å follow each position.
Atoms (fractional coordinates):
1 Sc 0.9881 0.9881 0.9762  4 Tc 2.71, 2 Ru 2.85, 2 Sc 3.03
2 Sc 0.7610 0.2610 0.5219  4 Ru 2.71, 2 Tc 2.87, 2 Sc 3.03
3 Ru 0.2369 0.7369 0.4737  2 Tc 2.63, 6 Sc 2.71-2.85
4 Tc 0.5141 0.5141 0.0281  2 Ru 2.63, 6 Sc 2.71-2.87

---

# Sc2TcRu

A relaxed Sc2TcRu crystal (GGA-PBEsol, the Alexandria database).

* M_tot: 0.00 μB/cell
* SG: C2/m (12)
* Fermi-level density of states: 0.91 states/eV per atom
* ΔE_f: -0.02 eV/atom
* uncorrected energy: -8.6793 eV/atom

abc: 3.0080 4.3692 5.3959
angles: 98.47 90.00 110.13
Closest atoms and distances in Å follow each position.
Atoms (fractional coordinates):
1 Ru 0.5000 0.0000 0.0000  6 Sc 2.63-2.71
2 Sc 0.7515 0.5031 0.7514  3 Tc 2.62-2.74, 3 Ru 2.63-2.71
3 Sc 0.2485 0.4969 0.2486  3 Tc 2.62-2.74, 3 Ru 2.63-2.71
4 Tc 0.0000 0.0000 0.5000  6 Sc 2.62-2.74

---

# ScTcRu2

A relaxed ScTcRu2 crystal (GGA-PBEsol, the Alexandria database).

* M_tot: 0.00 μB/cell
* SG: Pmmm (47)
* Fermi-level density of states: 1.13 states/eV per atom
* ΔE_f: 0.03 eV/atom
* uncorrected energy: -9.5273 eV/atom

abc: 3.0164 4.3201 4.4886
angles: 90.00 90.00 90.00
Closest atoms and distances in Å follow each position.
Atoms (fractional coordinates):
1 Ru 0.0000 0.0000 0.0000  4 Sc 2.63, 4 Ru 2.70
2 Ru 0.5000 0.0000 0.5000  4 Tc 2.63, 4 Ru 2.70
3 Sc 0.5000 0.5000 0.0000  4 Ru 2.63, 4 Tc 2.70
4 Tc 0.0000 0.5000 0.5000  4 Ru 2.63, 4 Sc 2.70

---

# Sc2TcRu

A relaxed Sc2TcRu crystal (GGA-PBEsol, the Alexandria database).

* M_tot: 0.00 μB/cell
* SG: R-3m (166)
* Fermi-level density of states: 1.34 states/eV per atom
* ΔE_f: 0.32 eV/atom
* uncorrected energy: -8.3390 eV/atom

abc: 2.9704 2.9704 9.1169
angles: 80.62 80.62 60.00
Closest atoms and distances in Å follow each position.
Atoms (fractional coordinates):
1 Sc 0.9112 0.9112 0.2664  1 Ru 2.39
2 Sc 0.0888 0.0888 0.7336  1 Ru 2.39
3 Ru 0.0000 0.0000 0.0000  2 Sc 2.39
4 Tc 0.5000 0.5000 0.5000  6 Sc 2.70, 6 Tc 2.97

---

# ScTcRu2

A relaxed ScTcRu2 crystal (GGA-PBEsol, the Alexandria database).

* M_tot: 0.00 μB/cell
* SG: I-4m2 (119)
* Fermi-level density of states: 1.57 states/eV per atom
* ΔE_f: 0.06 eV/atom
* uncorrected energy: -9.4917 eV/atom

abc: 3.7720 3.7720 4.9314
angles: 112.49 112.49 90.00
Closest atoms and distances in Å follow each position.
Atoms (fractional coordinates):
1 Ru 0.0000 0.0000 0.0000  4 Sc 2.67, 4 Tc 2.80, 4 Ru 2.80
2 Ru 0.7500 0.2500 0.5000  4 Tc 2.67, 4 Sc 2.80, 4 Ru 2.80
3 Sc 0.5000 0.5000 0.0000  8 Ru 2.67-2.80, 4 Tc 2.80
4 Tc 0.2500 0.7500 0.5000  8 Ru 2.67-2.80, 4 Sc 2.80

---

# ScTe2Ru

A relaxed ScTe2Ru crystal (GGA-PBEsol, the Alexandria database).

* M_tot: 0.00 μB/cell
* SG: Fm-3m (225)
* Fermi-level density of states: 0.88 states/eV per atom
* E_form (uncorrected): -0.271 eV/atom
* uncorrected energy: -6.2287 eV/atom

abc: 4.8097 4.8111 4.8111
angles: 60.02 60.01 60.01
Closest atoms and distances in Å follow each position.
Atoms (fractional coordinates):
1 Ru 0.0000 0.5000 0.5000  8 Te 2.95
2 Sc 0.5000 0.0000 0.0000  8 Te 2.95
3 Te 0.2501 0.7499 0.7499  4 Ru 2.95, 4 Sc 2.95
4 Te 0.7499 0.2501 0.2501  4 Ru 2.95, 4 Sc 2.95

---

# ScTe2Ru

A relaxed ScTe2Ru crystal (GGA-PBEsol, the Alexandria database).

* M_tot: 0.00 μB/cell
* SG: R-3m (166)
* Fermi-level density of states: 0.77 states/eV per atom
* E_form (uncorrected): 0.127 eV/atom
* uncorrected energy: -5.8304 eV/atom

abc: 3.2725 3.2725 9.5314
angles: 80.12 80.12 60.00
Closest atoms and distances in Å follow each position.
Atoms (fractional coordinates):
1 Sc 0.5000 0.5000 0.5000  6 Te 2.88
2 Ru 0.0000 0.0000 0.0000  2 Te 2.49
3 Te 0.9110 0.9110 0.2670  1 Ru 2.49
4 Te 0.0890 0.0890 0.7330  1 Ru 2.49